(1)
TbHS: optimized geometry, PBE-GGA.

Cell lengths 5.4734, 5.4734, 6.7111 Å; angles 127.52, 127.52, 40.47 degrees
Positions (direct):
Tb 0.2218 0.2218 0.1901
Tb 0.7782 0.7782 0.8099
H 0.1943 0.1943 0.8360
H 0.8057 0.8057 0.1640
S 0.4537 0.4537 0.7273
S 0.5463 0.5463 0.2727

Output
The calculation puts the density at 6.42 g/cm3. As for the symmetry: C2/m (12). As for the raw total energy: -32.33 eV for the cell shown. The calculation puts the magnetic moment at 0.00 μB/cell.

---

(2)
TbHS: optimized geometry, PBE-GGA.

Cell lengths 4.3499, 4.3499, 4.3499 Å; angles 60.00, 60.00, 60.00 degrees
Positions (direct):
Tb 0.0000 0.0000 0.0000
H 0.7500 0.7500 0.7500
S 0.2500 0.2500 0.2500

Output
The calculation puts the density at 5.48 g/cm3. As for the symmetry: F-43m (216). As for the raw total energy: -15.92 eV for the cell shown. The calculation puts the magnetic moment at 0.00 μB/cell.

---

(3)
Tb5HS4: optimized geometry, PBE-GGA.

Cell lengths 16.1312, 16.1312, 16.1312 Å; angles 13.69, 13.69, 13.69 degrees
Positions (direct):
Tb 0.0000 0.0000 0.0000
Tb 0.1962 0.1962 0.1962
Tb 0.4029 0.4029 0.4029
Tb 0.5971 0.5971 0.5971
Tb 0.8038 0.8038 0.8038
H 0.5000 0.5000 0.5000
S 0.1030 0.1030 0.1030
S 0.2988 0.2988 0.2988
S 0.7012 0.7012 0.7012
S 0.8970 0.8970 0.8970

Output
The calculation puts the density at 7.50 g/cm3. As for the symmetry: R-3m (166). As for the raw total energy: -59.50 eV for the cell shown. The calculation puts the magnetic moment at 0.00 μB/cell.